Compound: NpMnBi2O6
Source: the Alexandria database
Functional: PBE+U
Structure: optimized geometry

a b c (Å): 6.116 6.116 6.116
angles (deg): 59.28 59.28 59.28
Fractional positions:
Np  0.000  0.000  0.000
Mn  0.500  0.500  0.500
Bi  0.294  0.294  0.294
Bi  0.706  0.706  0.706
O  0.159  0.346  0.702
O  0.298  0.841  0.654
O  0.346  0.702  0.159
O  0.654  0.298  0.841
O  0.702  0.159  0.346
O  0.841  0.654  0.298

Computed properties:
Density of states at the Fermi level (states/eV per atom): 1.039
E (eV per atom): -7.5583


Compound: NpMnBiO6
Source: the Alexandria database
Functional: PBE+U
Structure: optimized geometry

a b c (Å): 5.498 5.498 9.971
angles (deg): 90.00 90.00 120.00
Fractional positions:
Np  0.333  0.667  0.250
Np  0.667  0.333  0.750
Mn  0.333  0.667  0.750
Mn  0.667  0.333  0.250
Bi  0.000  0.000  0.000
Bi  0.000  0.000  0.500
O  0.014  0.360  0.138
O  0.014  0.654  0.362
O  0.346  0.360  0.362
O  0.346  0.986  0.138
O  0.360  0.014  0.638
O  0.360  0.346  0.862
O  0.640  0.654  0.138
O  0.640  0.986  0.362
O  0.654  0.014  0.862
O  0.654  0.640  0.638
O  0.986  0.346  0.638
O  0.986  0.640  0.862

Computed properties:
Density of states at the Fermi level (states/eV per atom): 0.429
E (eV per atom): -8.0010


Compound: Mn2BiO6
Source: the Alexandria database
Functional: PBE+U
Structure: optimized geometry

a b c (Å): 6.347 6.347 2.868
angles (deg): 90.00 90.00 120.00
Fractional positions:
Mn  0.333  0.667  0.240
Mn  0.667  0.333  0.760
Bi  0.000  0.000  0.500
O  0.155  0.735  0.735
O  0.265  0.420  0.735
O  0.420  0.155  0.265
O  0.580  0.845  0.735
O  0.735  0.580  0.265
O  0.845  0.265  0.265

Computed properties:
Density of states at the Fermi level (states/eV per atom): 0.444
E above lowest polymorph (kcal/mol of atoms): 12.71


Compound: Mn3BiO6
Source: the Alexandria database
Functional: PBE+U
Structure: optimized geometry

a b c (Å): 5.515 5.641 9.345
angles (deg): 90.00 123.53 90.00
Fractional positions:
Mn  0.000  0.000  0.000
Mn  0.000  0.500  0.500
Mn  0.266  0.017  0.785
Mn  0.266  0.483  0.285
Mn  0.734  0.517  0.715
Mn  0.734  0.983  0.215
Bi  0.500  0.000  0.500
Bi  0.500  0.500  0.000
O  0.096  0.127  0.221
O  0.096  0.373  0.721
O  0.248  0.699  0.110
O  0.248  0.801  0.610
O  0.345  0.134  0.027
O  0.345  0.366  0.527
O  0.655  0.634  0.473
O  0.655  0.866  0.973
O  0.752  0.199  0.390
O  0.752  0.301  0.890
O  0.904  0.627  0.279
O  0.904  0.873  0.779

Computed properties:
Density of states at the Fermi level (states/eV per atom): 0.253
E (eV per atom): -6.9479


Compound: MnBi2O5
Source: the Alexandria database
Functional: PBE+U
Structure: optimized geometry

a b c (Å): 7.994 3.774 15.290
angles (deg): 90.00 90.00 90.00
Fractional positions:
Mn  0.081  0.250  0.068
Mn  0.419  0.750  0.568
Mn  0.581  0.250  0.432
Mn  0.919  0.750  0.932
Bi  0.142  0.250  0.427
Bi  0.183  0.250  0.744
Bi  0.317  0.750  0.244
Bi  0.358  0.750  0.927
Bi  0.642  0.250  0.073
Bi  0.683  0.250  0.756
Bi  0.817  0.750  0.256
Bi  0.858  0.750  0.573
O  0.067  0.750  0.041
O  0.080  0.750  0.331
O  0.123  0.750  0.855
O  0.211  0.250  0.175
O  0.215  0.750  0.505
O  0.285  0.250  0.005
O  0.289  0.750  0.675
O  0.377  0.250  0.355
O  0.420  0.250  0.831
O  0.433  0.250  0.541
O  0.567  0.750  0.459
O  0.580  0.750  0.169
O  0.623  0.750  0.645
O  0.711  0.250  0.325
O  0.715  0.750  0.995
O  0.785  0.250  0.495
O  0.789  0.750  0.825
O  0.877  0.250  0.145
O  0.920  0.250  0.669
O  0.933  0.250  0.959

Computed properties:
Density of states at the Fermi level (states/eV per atom): 0.235
E (eV per atom): -6.2360


Compound: Mn2Bi4O
Source: the Alexandria database
Functional: PBE+U
Structure: optimized geometry

a b c (Å): 4.701 4.701 17.117
angles (deg): 90.00 90.00 90.00
Fractional positions:
Mn  0.000  0.000  0.120
Mn  0.000  0.000  0.880
Mn  0.500  0.500  0.380
Mn  0.500  0.500  0.620
Bi  0.000  0.000  0.287
Bi  0.000  0.000  0.713
Bi  0.000  0.500  0.000
Bi  0.000  0.500  0.500
Bi  0.500  0.000  0.000
Bi  0.500  0.000  0.500
Bi  0.500  0.500  0.213
Bi  0.500  0.500  0.787
O  0.000  0.000  0.500
O  0.500  0.500  0.000

Computed properties:
Density of states at the Fermi level (states/eV per atom): 0.325
E (eV per atom): -4.9411


Compound: Mn5Bi3O12
Source: the Alexandria database
Functional: PBE+U
Structure: optimized geometry

a b c (Å): 11.094 11.094 11.094
angles (deg): 109.47 109.47 109.47
Fractional positions:
Mn  0.000  0.000  0.000
Mn  0.000  0.000  0.500
Mn  0.000  0.500  0.000
Mn  0.000  0.500  0.500
Mn  0.125  0.750  0.875
Mn  0.125  0.875  0.250
Mn  0.250  0.125  0.875
Mn  0.250  0.625  0.375
Mn  0.375  0.250  0.625
Mn  0.375  0.625  0.750
Mn  0.500  0.000  0.000
Mn  0.500  0.000  0.500
Mn  0.500  0.500  0.000
Mn  0.500  0.500  0.500
Mn  0.625  0.375  0.250
Mn  0.625  0.750  0.375
Mn  0.750  0.375  0.625
Mn  0.750  0.875  0.125
Mn  0.875  0.125  0.750
Mn  0.875  0.250  0.125
Bi  0.125  0.250  0.375
Bi  0.125  0.375  0.750
Bi  0.250  0.375  0.125
Bi  0.250  0.875  0.625
Bi  0.375  0.125  0.250
Bi  0.375  0.750  0.125
Bi  0.625  0.250  0.875
Bi  0.625  0.875  0.750
Bi  0.750  0.125  0.375
Bi  0.750  0.625  0.875
Bi  0.875  0.625  0.250
Bi  0.875  0.750  0.625
O  0.026  0.198  0.119
O  0.026  0.329  0.907
O  0.078  0.698  0.671
O  0.078  0.881  0.407
O  0.093  0.619  0.422
O  0.093  0.974  0.671
O  0.119  0.026  0.198
O  0.119  0.593  0.922
O  0.171  0.198  0.578
O  0.171  0.474  0.593
O  0.198  0.119  0.026
O  0.198  0.578  0.171
O  0.302  0.329  0.922
O  0.302  0.474  0.381
O  0.329  0.907  0.026
O  0.329  0.922  0.302
O  0.381  0.302  0.474
O  0.381  0.578  0.907
O  0.407  0.078  0.881
O  0.407  0.829  0.526
O  0.422  0.093  0.619
O  0.422  0.829  0.802
O  0.474  0.381  0.302
O  0.474  0.593  0.171
O  0.526  0.407  0.829
O  0.526  0.619  0.698
O  0.578  0.171  0.198
O  0.578  0.907  0.381
O  0.593  0.171  0.474
O  0.593  0.922  0.119
O  0.619  0.422  0.093
O  0.619  0.698  0.526
O  0.671  0.078  0.698
O  0.671  0.093  0.974
O  0.698  0.526  0.619
O  0.698  0.671  0.078
O  0.802  0.422  0.829
O  0.802  0.881  0.974
O  0.829  0.526  0.407
O  0.829  0.802  0.422
O  0.881  0.407  0.078
O  0.881  0.974  0.802
O  0.907  0.026  0.329
O  0.907  0.381  0.578
O  0.922  0.119  0.593
O  0.922  0.302  0.329
O  0.974  0.671  0.093
O  0.974  0.802  0.881

Computed properties:
Density of states at the Fermi level (states/eV per atom): 0.493
E (eV per atom): -6.7931


Compound: Mn3BiO8
Source: the Alexandria database
Functional: PBE+U
Structure: optimized geometry

a b c (Å): 6.456 6.456 6.456
angles (deg): 53.50 53.50 53.50
Fractional positions:
Mn  0.000  0.500  0.500
Mn  0.500  0.000  0.500
Mn  0.500  0.500  0.000
Bi  0.500  0.500  0.500
O  0.243  0.243  0.708
O  0.243  0.708  0.243
O  0.273  0.273  0.273
O  0.292  0.757  0.757
O  0.708  0.243  0.243
O  0.727  0.727  0.727
O  0.757  0.292  0.757
O  0.757  0.757  0.292

Computed properties:
Density of states at the Fermi level (states/eV per atom): 0.028
E above lowest polymorph (kcal/mol of atoms): 0.48


Compound: Mn3BiO
Source: the Alexandria database
Functional: PBE+U
Structure: optimized geometry

a b c (Å): 5.384 5.384 5.384
angles (deg): 90.00 90.00 90.00
Fractional positions:
Mn  0.000  0.000  0.500
Mn  0.000  0.500  0.000
Mn  0.500  0.000  0.000
Bi  0.000  0.000  0.000
O  0.500  0.500  0.500

Computed properties:
Density of states at the Fermi level (states/eV per atom): 0.581
E above lowest polymorph (kcal/mol of atoms): 33.86


Compound: Mn3BiO8
Source: the Alexandria database
Functional: PBE+U
Structure: optimized geometry

a b c (Å): 8.626 8.626 8.626
angles (deg): 90.00 90.00 90.00
Fractional positions:
Mn  0.100  0.150  0.625
Mn  0.125  0.400  0.850
Mn  0.150  0.625  0.100
Mn  0.350  0.375  0.600
Mn  0.375  0.600  0.350
Mn  0.400  0.850  0.125
Mn  0.600  0.350  0.375
Mn  0.625  0.100  0.150
Mn  0.650  0.875  0.900
Mn  0.850  0.125  0.400
Mn  0.875  0.900  0.650
Mn  0.900  0.650  0.875
Bi  0.125  0.875  0.375
Bi  0.375  0.125  0.875
Bi  0.625  0.625  0.625
Bi  0.875  0.375  0.125
O  0.074  0.137  0.402
O  0.098  0.926  0.637
O  0.113  0.176  0.848
O  0.124  0.624  0.876
O  0.126  0.374  0.626
O  0.137  0.402  0.074
O  0.152  0.613  0.324
O  0.176  0.848  0.113
O  0.324  0.152  0.613
O  0.348  0.387  0.824
O  0.363  0.598  0.574
O  0.374  0.626  0.126
O  0.376  0.376  0.376
O  0.387  0.824  0.348
O  0.402  0.074  0.137
O  0.426  0.863  0.902
O  0.574  0.363  0.598
O  0.598  0.574  0.363
O  0.613  0.324  0.152
O  0.624  0.876  0.124
O  0.626  0.126  0.374
O  0.637  0.098  0.926
O  0.652  0.887  0.676
O  0.676  0.652  0.887
O  0.824  0.348  0.387
O  0.848  0.113  0.176
O  0.863  0.902  0.426
O  0.874  0.874  0.874
O  0.876  0.124  0.624
O  0.887  0.676  0.652
O  0.902  0.426  0.863
O  0.926  0.637  0.098

Computed properties:
E above lowest polymorph (kcal/mol of atoms): 0.00


Compound: Mn2BiO6
Source: the Alexandria database
Functional: PBE+U
Structure: optimized geometry

a b c (Å): 5.049 5.049 4.762
angles (deg): 90.00 90.00 120.00
Fractional positions:
Mn  0.333  0.667  0.000
Mn  0.667  0.333  0.000
Bi  0.000  0.000  0.500
O  0.000  0.371  0.222
O  0.000  0.629  0.778
O  0.371  0.000  0.222
O  0.371  0.371  0.778
O  0.629  0.000  0.778
O  0.629  0.629  0.222

Computed properties:
Density of states at the Fermi level (states/eV per atom): 0.260
E above lowest polymorph (kcal/mol of atoms): 0.00


Compound: Mn3BiO
Source: the Alexandria database
Functional: PBE+U
Structure: optimized geometry

a b c (Å): 4.544 4.544 4.544
angles (deg): 90.00 90.00 90.00
Fractional positions:
Mn  0.000  0.000  0.500
Mn  0.000  0.500  0.000
Mn  0.500  0.000  0.000
Bi  0.500  0.500  0.500
O  0.000  0.000  0.000

Computed properties:
Density of states at the Fermi level (states/eV per atom): 0.592
E above lowest polymorph (kcal/mol of atoms): 0.00


Compound: MnBi3O6
Source: the Alexandria database
Functional: PBE+U
Structure: optimized geometry

a b c (Å): 5.800 5.800 5.759
angles (deg): 115.75 115.75 62.79
Fractional positions:
Mn  0.000  0.000  0.000
Bi  0.250  0.250  0.787
Bi  0.500  0.500  0.500
Bi  0.750  0.750  0.213
O  0.144  0.687  0.171
O  0.211  0.211  0.349
O  0.313  0.856  0.829
O  0.687  0.144  0.171
O  0.789  0.789  0.651
O  0.856  0.313  0.829

Computed properties:
Density of states at the Fermi level (states/eV per atom): 0.094
E above lowest polymorph (kcal/mol of atoms): 2.21


Compound: Mn4BiO5
Source: the Alexandria database
Functional: PBE+U
Structure: optimized geometry

a b c (Å): 5.662 5.662 5.662
angles (deg): 103.36 103.36 122.54
Fractional positions:
Mn  0.103  0.702  0.805
Mn  0.298  0.103  0.401
Mn  0.702  0.897  0.599
Mn  0.897  0.298  0.195
Bi  0.499  0.499  0.000
O  0.283  0.483  0.555
O  0.483  0.928  0.200
O  0.728  0.283  0.800
O  0.921  0.921  0.000
O  0.928  0.728  0.445

Computed properties:
Density of states at the Fermi level (states/eV per atom): 0.159
E (eV per atom): -7.1383


Compound: Mn2BiO4
Source: the Alexandria database
Functional: PBE+U
Structure: optimized geometry

a b c (Å): 6.468 6.468 6.468
angles (deg): 119.12 119.12 91.53
Fractional positions:
Mn  0.000  0.000  0.000
Mn  0.000  0.000  0.500
Mn  0.000  0.500  0.000
Mn  0.500  0.000  0.500
Bi  0.375  0.625  0.750
Bi  0.625  0.375  0.250
O  0.204  0.230  0.974
O  0.230  0.204  0.474
O  0.230  0.756  0.026
O  0.244  0.770  0.474
O  0.756  0.230  0.526
O  0.770  0.244  0.974
O  0.770  0.796  0.526
O  0.796  0.770  0.026

Computed properties:
Density of states at the Fermi level (states/eV per atom): 0.289
E (eV per atom): -6.9523